VASP calculation (PBE) on a relaxed La2BiH crystal.

Output
Calculated volume in A^3/atom: 27.6
Symmetry: Fm-3m (225)
Distance to the lowest polymorph of the same formula in eV/f.u.: 1.14
E in eV/atom: -4.66

a b c (Å): 5.3877 5.3877 5.3877
angles (deg): 60.00 60.00 60.00
With the nearest neighbours (Å) after each atom.
Sites, in units of the cell vectors:
La1 0.2500 0.2500 0.2500  4 H 3.30, 4 Bi 3.30
La2 0.7500 0.7500 0.7500  4 H 3.30, 4 Bi 3.30
Bi1 0.0000 0.0000 0.0000  8 La 3.30
H1 0.5000 0.5000 0.5000  8 La 3.30

=====

VASP calculation (PBE) on a relaxed Pr4TlAg2 crystal.

Output
Calculated volume in A^3/atom: 30.8
ΔH_f (0 K) in meV/atom: -145
Symmetry: I-42d (122)
Distance to the lowest polymorph of the same formula in eV/f.u.: 0.10
E in eV/atom: -4.03

a b c (Å): 8.2427 8.2427 8.2427
angles (deg): 108.36 108.36 111.72
With the nearest neighbours (Å) after each atom.
Sites, in units of the cell vectors:
Pr1 0.1149 0.5101 0.7421  3 Ag 3.08-3.45, 2 Tl 3.26-3.37
Pr2 0.1227 0.0180 0.7579  3 Ag 3.08-3.45, 2 Tl 3.26-3.37
Pr3 0.2601 0.3649 0.2421  3 Ag 3.08-3.45, 2 Tl 3.26-3.37
Pr4 0.4899 0.2320 0.6047  3 Ag 3.08-3.45, 2 Tl 3.26-3.37
Pr5 0.6273 0.8851 0.3953  3 Ag 3.08-3.45, 2 Tl 3.26-3.37
Pr6 0.6351 0.8773 0.8953  3 Ag 3.08-3.45, 2 Tl 3.26-3.37
Pr7 0.7680 0.3727 0.2579  3 Ag 3.08-3.45, 2 Tl 3.26-3.37
Pr8 0.9820 0.7399 0.1047  3 Ag 3.08-3.45, 2 Tl 3.26-3.37
Tl1 0.2500 0.7500 0.5000  8 Pr 3.26-3.37
Tl2 0.5000 0.5000 0.0000  8 Pr 3.26-3.37
Ag1 0.0052 0.1250 0.3802  6 Pr 3.08-3.45
Ag2 0.3750 0.9948 0.1198  6 Pr 3.08-3.45
Ag3 0.7448 0.6250 0.6198  6 Pr 3.08-3.45
Ag4 0.8750 0.2552 0.8802  6 Pr 3.08-3.45

=====

VASP calculation (PBE) on a relaxed TlCrRe crystal.

Output
Calculated volume in A^3/atom: 16.9
ΔH_f (0 K) in meV/atom: 598
Symmetry: I4mm (107)
Distance to the lowest polymorph of the same formula in eV/f.u.: 0.00
E in eV/atom: -7.55

a b c (Å): 6.0613 6.0613 6.0613
angles (deg): 151.46 151.46 40.80
With the nearest neighbours (Å) after each atom.
Sites, in units of the cell vectors:
Tl1 0.0000 0.0000 0.0000  4 Tl 2.99, 4 Cr 3.00, 4 Re 3.10
Cr1 0.3130 0.3130 0.0000  4 Re 2.47
Re1 0.6997 0.6997 0.0000  4 Cr 2.47